The following is a DFT calculation (PBE) of a relaxed structure of AcNiSn.

abc: 6.6652 6.7556 8.3080
angles: 90.00 124.49 90.00
Closest atoms and distances in Å follow each position.
Space group P2_1/c (No. 14)
Symmetry-distinct sites (fractional):
Ac 0.2039 0.1454 0.4211 [4 per cell]  3 Ni 3.00-3.31
Ni 0.3693 0.5867 0.3297 [4 per cell]  3 Sn 2.54-2.59, 1 Ni 2.61
Sn 0.2707 0.6419 0.5835 [4 per cell]  3 Ni 2.54-2.59

Results
- formation enthalpy at 0 K (meV/atom) = -565

***

The following is a DFT calculation (PBE) of a relaxed structure of NiPtBr2.

abc: 3.4426 3.7827 6.8580
angles: 90.00 90.00 90.00
Closest atoms and distances in Å follow each position.
Space group Pmmm (No. 47)
Symmetry-distinct sites (fractional):
Ni 0.0000 0.0000 0.0000 [1 per cell]  4 Br 2.56
Pt 0.5000 0.0000 0.5000 [1 per cell]  4 Br 2.56
Br 0.0000 0.5000 0.5000 [1 per cell]  4 Pt 2.56
Br 0.5000 0.5000 0.0000 [1 per cell]  4 Ni 2.56

Results
- uncorrected formation energy (eV/atom) = 0.485

***

The following is a DFT calculation (PBE) of a relaxed structure of Rb2OsO6.

abc: 8.9696 8.9696 8.9696
angles: 90.00 90.00 90.00
Closest atoms and distances in Å follow each position.
Space group Fm-3m (No. 225)
Symmetry-distinct sites (fractional):
Rb 0.2500 0.2500 0.2500 [8 per cell]  12 O 3.19
Os 0.0000 0.0000 0.0000 [4 per cell]  6 O 1.86
O 0.0000 0.0000 0.2072 [24 per cell]  1 Os 1.86

Results
- uncorrected formation energy (eV/atom) = -0.890

***

The following is a DFT calculation (PBE) of a relaxed structure of Pr2Y2Sb5.

abc: 16.2162 8.1152 8.2985
angles: 90.00 90.00 90.00
Closest atoms and distances in Å follow each position.
Space group Cmce (No. 64)
Symmetry-distinct sites (fractional):
Pr 0.1908 0.0000 0.0000 [8 per cell]  7 Sb 3.09-3.31
Y 0.0000 0.1580 0.3379 [8 per cell]  8 Sb 3.08-3.34
Sb 0.0000 0.0000 0.0000 [4 per cell]  4 Y 3.08, 2 Pr 3.09
Sb 0.1353 0.1400 0.6409 [16 per cell]  3 Y 3.19-3.34, 3 Pr 3.26-3.31, 1 Sb 3.26

Results
- uncorrected formation energy (eV/atom) = -0.897

***

The following is a DFT calculation (PBE) of a relaxed structure of Na2LiHgBi.

abc: 6.0392 6.0392 5.3477
angles: 90.00 90.00 90.00
Closest atoms and distances in Å follow each position.
Space group P4/mmm (No. 123)
Symmetry-distinct sites (fractional):
Na 0.0000 0.5000 0.0000 [2 per cell]  2 Bi 3.02
Li 0.0000 0.0000 0.5000 [1 per cell]  2 Bi 2.67
Hg 0.5000 0.5000 0.5000 [1 per cell]  8 Na 4.03, 4 Li 4.27
Bi 0.0000 0.0000 0.0000 [1 per cell]  2 Li 2.67

Results
- formation enthalpy at 0 K (meV/atom) = -208

***

The following is a DFT calculation (PBE) of a relaxed structure of BaPbAu.

abc: 5.2161 6.4959 6.8045
angles: 90.00 112.45 90.00
Closest atoms and distances in Å follow each position.
Space group P2_1/m (No. 11)
Symmetry-distinct sites (fractional):
Ba 0.1501 0.2500 0.3026 [2 per cell]  4 Au 3.25-3.62
Pb 0.4454 0.2500 0.8930 [2 per cell]  2 Au 2.87
Au 0.1501 0.7500 0.2983 [2 per cell]  2 Pb 2.87

Results
- formation enthalpy at 0 K (meV/atom) = -512

***

The following is a DFT calculation (PBE) of a relaxed structure of Ca2ZrCd.

abc: 3.4009 4.9730 6.6950
angles: 90.00 90.00 90.00
Closest atoms and distances in Å follow each position.
Space group Pmmm (No. 47)
Symmetry-distinct sites (fractional):
Ca 0.0000 0.0000 0.2475 [2 per cell]  4 Ca 3.31-3.40, 4 Cd 3.44, 4 Zr 3.45
Zr 0.5000 0.5000 0.5000 [1 per cell]  2 Cd 3.35, 2 Zr 3.40, 8 Ca 3.45
Cd 0.5000 0.5000 0.0000 [1 per cell]  2 Zr 3.35, 2 Cd 3.40, 8 Ca 3.44

Results
- formation enthalpy at 0 K (meV/atom) = 149

***

The following is a DFT calculation (PBE) of a relaxed structure of NdAu3.

abc: 3.9955 3.9955 5.8463
angles: 90.00 90.00 90.00
Closest atoms and distances in Å follow each position.
Space group P4mm (No. 99)
Symmetry-distinct sites (fractional):
Nd 0.0000 0.0000 0.0000 [1 per cell]  8 Au 3.11-3.12
Au 0.0000 0.5000 0.5899 [2 per cell]  6 Au 2.83-2.93, 2 Nd 3.12
Au 0.5000 0.5000 0.2230 [1 per cell]  4 Au 2.93, 4 Nd 3.11

Results
- formation enthalpy at 0 K (meV/atom) = -492

***

Calculated density in Mg/m³, matching the order above: 8.7, 7.7, 4.2, 6.5, 3.9, 8.4, 4.2, 13.1
Calculated total energy in eV per atom, matching the order above: -5.20, -3.31, -5.66, -5.69, -1.95, -3.48, -3.22, -4.14